A plane-wave DFT calculation with GGA+U was carried out for a relaxed PuNbV2O6 crystal.

a = 5.8706 Å, b = 5.8706 Å, c = 5.8706 Å
α = 55.26°, β = 55.26°, γ = 55.26°
With the nearest neighbours (Å) after each atom.
Sites, in units of the cell vectors:
Pu1 0.0000 0.0000 0.0000  6 O 2.25-2.44
Nb1 0.5068 0.5068 0.5068  6 O 2.01-2.13
V1 0.2057 0.2057 0.2057  6 O 2.11-2.22
V2 0.7076 0.7076 0.7076  6 O 2.18
O1 0.1256 0.4304 0.7856  1 Nb 2.01, 2 V 2.18-2.22
O2 0.3334 0.9006 0.5807  2 V 2.11-2.18, 1 Nb 2.13, 1 Pu 2.25
O3 0.4304 0.7856 0.1256  1 Nb 2.01, 2 V 2.18-2.22
O4 0.5807 0.3334 0.9006  2 V 2.11-2.18, 1 Nb 2.13, 1 Pu 2.25
O5 0.7856 0.1256 0.4304  1 Nb 2.01, 2 V 2.18-2.22
O6 0.9006 0.5807 0.3334  2 V 2.11-2.18, 1 Nb 2.13, 1 Pu 2.25

Mass density = 7.0 g cm⁻³
Size of the total moment = 11.0 μB/f.u.
Crystal system = trigonal
Final energy = -9.21 eV per atom